No. 1
# Sm8PC3Br4 (PBE-GGA, relaxed)
# - crystal system = trigonal
# - formation energy from raw total energies (kJ/mol of atoms) = -101.58
data_Sm8PC3Br4
_space_group_name_H-M_alt 'R -3 m'
_space_group_IT_number 166
_space_group_name_Hall '-R 3 2"'
_cell_length_a 7.7338
_cell_length_b 7.7338
_cell_length_c 21.8930
_cell_angle_alpha 90.00
_cell_angle_beta 90.00
_cell_angle_gamma 120.00
loop_
_atom_site_label
_atom_site_fract_x
_atom_site_fract_y
_atom_site_fract_z
Sm1 0.0000 0.0000 0.2268
Sm2 0.0218 0.5109 0.7712
P1 0.0000 0.0000 0.5000
C1 0.0000 0.5000 0.5000
Br1 0.0000 0.0000 0.0000
Br2 0.0000 0.5000 0.0000

---

No. 2
# Tb4PCBr2 (PBE-GGA, relaxed)
# - crystal system = monoclinic
# - formation energy from raw total energies (kJ/mol of atoms) = -115.42
data_Tb4PCBr2
_space_group_name_H-M_alt 'P 1 2/m 1'
_space_group_IT_number 10
_cell_length_a 6.805
_cell_length_b 3.856
_cell_length_c 7.453
_cell_angle_alpha 90.00
_cell_angle_beta 107.43
_cell_angle_gamma 90.00
loop_
_space_group_symop_operation_xyz
'x,y,z'
'-x,-y,-z'
'-x,y,-z'
'x,-y,z'
loop_
_atom_site_label
_atom_site_fract_x
_atom_site_fract_y
_atom_site_fract_z
Tb1 0.205 0.000 0.184
Tb2 0.242 0.500 0.810
P1 0.500 0.000 0.000
C1 0.000 0.500 0.000
Br1 0.000 0.000 0.500
Br2 0.500 0.500 0.500

---

No. 3
# Th6P2C3Br (PBE-GGA, relaxed)
# - crystal system = monoclinic
# - formation energy from raw total energies (kJ/mol of atoms) = -84.32
data_Th6P2C3Br
_space_group_name_H-M_alt 'C 1 2/m 1'
_space_group_IT_number 12
_cell_length_a 17.676
_cell_length_b 3.891
_cell_length_c 8.187
_cell_angle_alpha 90.00
_cell_angle_beta 107.16
_cell_angle_gamma 90.00
loop_
_space_group_symop_operation_xyz
'x,y,z'
'-x,-y,-z'
'-x,y,-z'
'x,-y,z'
'x+1/2,y+1/2,z'
'-x+1/2,-y+1/2,-z'
'-x+1/2,y+1/2,-z'
'x+1/2,-y+1/2,z'
loop_
_atom_site_label
_atom_site_fract_x
_atom_site_fract_y
_atom_site_fract_z
Th1 0.010 0.000 0.215
Th2 0.162 0.500 0.099
Th3 0.180 0.500 0.566
P1 0.163 0.000 0.826
C1 0.000 0.500 0.000
C2 0.168 0.000 0.333
Br1 0.000 0.500 0.500

---

No. 4
# Pa2C2Br (PBE-GGA, relaxed)
# - crystal system = trigonal
# - formation energy from raw total energies (kJ/mol of atoms) = -58.53
data_Pa2C2Br
_space_group_name_H-M_alt 'P -3 m 1'
_space_group_IT_number 164
_space_group_name_Hall '-P 3 2"'
_cell_length_a 3.9536
_cell_length_b 3.9536
_cell_length_c 7.4931
_cell_angle_alpha 90.00
_cell_angle_beta 90.00
_cell_angle_gamma 120.00
loop_
_atom_site_label
_atom_site_fract_x
_atom_site_fract_y
_atom_site_fract_z
Pa1 0.3333 0.6667 0.3149
C1 0.3333 0.6667 0.6219
Br1 0.0000 0.0000 0.0000

---

No. 5
# PaCBr (PBE-GGA, relaxed)
# - crystal system = triclinic
# - formation energy from raw total energies (kJ/mol of atoms) = -93.36
data_PaCBr
_space_group_name_H-M_alt 'P -1'
_space_group_IT_number 2
_cell_length_a 3.702
_cell_length_b 4.072
_cell_length_c 10.683
_cell_angle_alpha 86.80
_cell_angle_beta 89.89
_cell_angle_gamma 62.96
loop_
_space_group_symop_operation_xyz
'x,y,z'
'-x,-y,-z'
loop_
_atom_site_label
_atom_site_fract_x
_atom_site_fract_y
_atom_site_fract_z
Pa1 0.142 0.215 0.124
C1 0.423 0.655 0.038
Br1 0.178 0.148 0.689

---

No. 6
# PaCBr (PBE-GGA, relaxed)
# - crystal system = triclinic
# - formation energy from raw total energies (kJ/mol of atoms) = -66.83
data_PaCBr
_space_group_name_H-M_alt 'P -1'
_space_group_IT_number 2
_cell_length_a 3.460
_cell_length_b 3.533
_cell_length_c 11.381
_cell_angle_alpha 89.86
_cell_angle_beta 89.31
_cell_angle_gamma 90.00
loop_
_space_group_symop_operation_xyz
'x,y,z'
'-x,-y,-z'
loop_
_atom_site_label
_atom_site_fract_x
_atom_site_fract_y
_atom_site_fract_z
Pa1 0.245 0.249 0.124
C1 0.253 0.251 0.919
Br1 0.263 0.752 0.669

---

No. 7
# Pa6CBr15 (PBE-GGA, relaxed)
# - crystal system = cubic
# - formation energy from raw total energies (kJ/mol of atoms) = -120.71
data_Pa6CBr15
_space_group_name_H-M_alt 'I m -3 m'
_space_group_IT_number 229
_space_group_name_Hall '-I 4 2 3'
_cell_length_a 11.202
_cell_length_b 11.202
_cell_length_c 11.202
_cell_angle_alpha 90.00
_cell_angle_beta 90.00
_cell_angle_gamma 90.00
loop_
_atom_site_label
_atom_site_fract_x
_atom_site_fract_y
_atom_site_fract_z
Pa1 0.000 0.000 0.224
C1 0.000 0.000 0.000
Br1 0.000 0.000 0.500
Br2 0.000 0.253 0.253

---

No. 8
# PaCBr (PBE-GGA, relaxed)
# - crystal system = tetragonal
# - formation energy from raw total energies (kJ/mol of atoms) = -52.56
data_PaCBr
_space_group_name_H-M_alt 'I 4/m m m'
_space_group_IT_number 139
_space_group_name_Hall '-I 4 2'
_cell_length_a 3.408
_cell_length_b 3.408
_cell_length_c 22.780
_cell_angle_alpha 90.00
_cell_angle_beta 90.00
_cell_angle_gamma 90.00
loop_
_atom_site_label
_atom_site_fract_x
_atom_site_fract_y
_atom_site_fract_z
Pa1 0.000 0.000 0.186
C1 0.000 0.000 0.286
Br1 0.000 0.000 0.412

---

No. 9
# Pb3CBr (PBE-GGA, relaxed)
# - crystal system = cubic
# - formation energy from raw total energies (kJ/mol of atoms) = 73.63
data_Pb3CBr
_space_group_name_H-M_alt 'P m -3 m'
_space_group_IT_number 221
_space_group_name_Hall '-P 4 2 3'
_cell_length_a 5.222
_cell_length_b 5.222
_cell_length_c 5.222
_cell_angle_alpha 90.00
_cell_angle_beta 90.00
_cell_angle_gamma 90.00
loop_
_atom_site_label
_atom_site_fract_x
_atom_site_fract_y
_atom_site_fract_z
Pb1 0.000 0.000 0.500
C1 0.000 0.000 0.000
Br1 0.500 0.500 0.500

---

No. 10
# PbC3Br (PBE-GGA, relaxed)
# - crystal system = cubic
# - formation energy from raw total energies (kJ/mol of atoms) = 313.13
data_PbC3Br
_space_group_name_H-M_alt 'P m -3 m'
_space_group_IT_number 221
_space_group_name_Hall '-P 4 2 3'
_cell_length_a 4.241
_cell_length_b 4.241
_cell_length_c 4.241
_cell_angle_alpha 90.00
_cell_angle_beta 90.00
_cell_angle_gamma 90.00
loop_
_atom_site_label
_atom_site_fract_x
_atom_site_fract_y
_atom_site_fract_z
Pb1 0.000 0.000 0.000
C1 0.000 0.500 0.500
Br1 0.500 0.500 0.500

---

No. 11
# PbC3Br (PBE-GGA, relaxed)
# - crystal system = cubic
# - formation energy from raw total energies (kJ/mol of atoms) = 330.80
data_PbC3Br
_space_group_name_H-M_alt 'P m -3 m'
_space_group_IT_number 221
_space_group_name_Hall '-P 4 2 3'
_cell_length_a 4.645
_cell_length_b 4.645
_cell_length_c 4.645
_cell_angle_alpha 90.00
_cell_angle_beta 90.00
_cell_angle_gamma 90.00
loop_
_atom_site_label
_atom_site_fract_x
_atom_site_fract_y
_atom_site_fract_z
Pb1 0.000 0.000 0.000
C1 0.000 0.000 0.500
Br1 0.500 0.500 0.500

---

No. 12
# PtPbC2Br (PBE-GGA, relaxed)
# - crystal system = tetragonal
# - formation energy from raw total energies (kJ/mol of atoms) = 266.40
data_PtPbC2Br
_space_group_name_H-M_alt 'P 4/m m m'
_space_group_IT_number 123
_space_group_name_Hall '-P 4 2'
_cell_length_a 4.351
_cell_length_b 4.351
_cell_length_c 6.011
_cell_angle_alpha 90.00
_cell_angle_beta 90.00
_cell_angle_gamma 90.00
loop_
_atom_site_label
_atom_site_fract_x
_atom_site_fract_y
_atom_site_fract_z
Pt1 0.000 0.000 0.000
Pb1 0.500 0.500 0.500
C1 0.000 0.500 0.500
Br1 0.500 0.500 0.000

---

> Among the records above, which one has the highest formation energy from raw total energies?

number 11

---

> The highest formation energy from raw total energies belongs to which entry?

number 11

---

> Among the records above, which one has the highest formation energy from raw total energies?

number 11